Record 1
Computed, not measured: a relaxed KCoAgBr5 crystal at the PBE level of DFT.

Cell lengths 7.899, 7.899, 9.432 Å; angles 102.50, 102.50, 105.27 degrees
Positions (direct):
K 0.152 0.848 0.750
K 0.848 0.152 0.250
Co 0.180 0.820 0.250
Co 0.820 0.180 0.750
Ag 0.500 0.500 0.000
Ag 0.500 0.500 0.500
Br 0.096 0.241 0.937
Br 0.166 0.589 0.372
Br 0.241 0.096 0.437
Br 0.411 0.834 0.128
Br 0.414 0.586 0.750
Br 0.586 0.414 0.250
Br 0.589 0.166 0.872
Br 0.759 0.904 0.563
Br 0.834 0.411 0.628
Br 0.904 0.759 0.063

Computed properties:
**Symmetry**: No. 15
**Final energy**: -3.084 eV/atom
**Uncorrected formation energy**: -657 meV/atom
**Crystal system**: monoclinic
**Total magnetic moment**: 3.77 μB per formula unit



Record 2
Computed, not measured: a relaxed K3Co2AgBr8 crystal at the PBE level of DFT.

Cell lengths 7.670, 7.670, 9.344 Å; angles 90.00, 90.00, 120.00 degrees
Positions (direct):
K 0.000 0.000 0.000
K 0.333 0.667 0.615
K 0.667 0.333 0.385
Co 0.333 0.667 0.206
Co 0.667 0.333 0.794
Ag 0.000 0.000 0.500
Br 0.166 0.333 0.307
Br 0.166 0.834 0.307
Br 0.333 0.166 0.693
Br 0.333 0.667 0.956
Br 0.667 0.333 0.044
Br 0.667 0.834 0.307
Br 0.834 0.166 0.693
Br 0.834 0.667 0.693

Computed properties:
**Symmetry**: No. 164
**Final energy**: -3.298 eV/atom
**Uncorrected formation energy**: -888 meV/atom
**Crystal system**: trigonal
**Total magnetic moment**: 6.00 μB per formula unit